Below is a geometry-optimized Ta5Mo4 structure, with properties calculated at the PBE level.

a b c (Å): 3.231 7.077 7.077
angles (deg): 92.99 103.20 76.80
Fractional coordinates of all 9 atoms:
Ta (0.333, 0.334, 0.000)
Ta (0.000, 0.000, 0.000)
Mo (0.339, 0.661, 0.339)
Mo (0.661, 0.339, 0.661)
Ta (0.667, 0.000, 0.334)
Ta (0.333, 0.000, 0.666)
Ta (0.667, 0.666, 0.000)
Mo (0.000, 0.339, 0.339)
Mo (0.000, 0.661, 0.661)

As for the crystal system: tetragonal. For the raw total energy, the calculation gives -103.48 eV/cell.